Computed, not measured: Rb2Zn2Cd after structural relaxation at the PBE level of DFT.

The structure in POSCAR format:
```
Rb2Zn2Cd
1.0
7.7759 0.0000 0.0000
0.0000 7.7759 0.0000
0.0000 0.0000 5.7708
Rb Zn Cd
4 4 2
direct
0.1834 0.3166 0.0000
0.3166 0.8166 0.0000
0.6834 0.1834 0.0000
0.8166 0.6834 0.0000
0.1224 0.6224 0.5000
0.3776 0.1224 0.5000
0.6224 0.8776 0.5000
0.8776 0.3776 0.5000
0.0000 0.0000 0.5000
0.5000 0.5000 0.5000
```

Properties
D(E_F) (states/eV/cell): 6.1
E_tot (eV/atom): -0.96
ΔH_f (0 K) (eV per atom): 0.124
M_tot (Bohr magnetons per cell): 0.00
Theoretical density (g/cm³): 3.9